# CdTcP2

Crystalline CdTcP2 at its relaxed geometry (PBE, the Alexandria database).

```
CdTcP2
1.0
3.1952 0.0000 0.0000
0.0000 4.2890 0.0000
0.0000 0.0000 4.5682
Cd Tc P
1 1 2
Cartesian
0.0000 0.0000 0.0000 Cd
0.0000 2.1445 2.2841 Tc
1.5976 0.0000 2.2841 P
1.5976 2.1445 0.0000 P
```

Results
Space-group type: Pmmm, No. 47
Formation enthalpy at 0 K in eV per formula unit: 1.84
ρ in Mg/m³: 7.22